No. 1
Compound: CdIn2Cl
Source: the Alexandria database
Functional: PBE
Structure: relaxed

```
data_CdIn2Cl
_cell_length_a 5.705
_cell_length_b 5.705
_cell_length_c 3.342
_cell_angle_alpha 100.41
_cell_angle_beta 100.41
_cell_angle_gamma 89.50
_symmetry_space_group_name_H-M 'P 1'
_symmetry_Int_Tables_number 1
_symmetry_space_group_name_Hall 'P 1'
loop_
_atom_site_label
_atom_site_fract_x
_atom_site_fract_y
_atom_site_fract_z
Cd1 0.000 0.000 0.000
In1 0.000 0.500 0.500
In2 0.500 0.000 0.500
Cl1 0.500 0.500 0.000
```

**Theoretical density**: 5959 kg/m³
**ΔE_f (raw)**: -0.29 eV per atom
**Distance to the lowest polymorph of the same formula**: 0.027 eV/atom
**Calculated total energy**: -9.40 eV/cell
**N(E_F)**: 1.5 states/eV/f.u.


No. 2
Compound: Cd2In2Cl
Source: the Alexandria database
Functional: PBE
Structure: relaxed

```
data_Cd2In2Cl
_cell_length_a 8.469
_cell_length_b 8.469
_cell_length_c 3.808
_cell_angle_alpha 90.00
_cell_angle_beta 90.00
_cell_angle_gamma 90.00
_symmetry_space_group_name_H-M 'P 1'
_symmetry_Int_Tables_number 1
_symmetry_space_group_name_Hall 'P 1'
loop_
_atom_site_label
_atom_site_fract_x
_atom_site_fract_y
_atom_site_fract_z
Cd1 0.122 0.378 0.000
Cd2 0.378 0.878 0.000
Cd3 0.622 0.122 0.000
Cd4 0.878 0.622 0.000
In1 0.186 0.686 0.500
In2 0.314 0.186 0.500
In3 0.686 0.814 0.500
In4 0.814 0.314 0.500
Cl1 0.000 0.000 0.500
Cl2 0.500 0.500 0.500
```

**Theoretical density**: 5956 kg/m³
**ΔE_f (raw)**: -0.19 eV per atom
**Distance to the lowest polymorph of the same formula**: 0.000 eV/atom
**Calculated total energy**: -20.16 eV/cell
**N(E_F)**: 1.8 states/eV/f.u.


No. 3
Compound: Cd2InCl
Source: the Alexandria database
Functional: PBE
Structure: relaxed

```
data_Cd2InCl
_cell_length_a 3.393
_cell_length_b 5.032
_cell_length_c 6.095
_cell_angle_alpha 90.00
_cell_angle_beta 90.64
_cell_angle_gamma 90.00
_symmetry_space_group_name_H-M 'P 1'
_symmetry_Int_Tables_number 1
_symmetry_space_group_name_Hall 'P 1'
loop_
_atom_site_label
_atom_site_fract_x
_atom_site_fract_y
_atom_site_fract_z
Cd1 0.000 0.000 0.000
Cd2 0.500 0.500 0.000
In1 0.498 0.500 0.500
Cl1 0.999 0.000 0.500
```

**Theoretical density**: 5985 kg/m³
**ΔE_f (raw)**: -0.29 eV per atom
**Distance to the lowest polymorph of the same formula**: 0.000 eV/atom
**Calculated total energy**: -7.57 eV/cell
**N(E_F)**: 1.4 states/eV/f.u.


No. 4
Compound: CdIn3Cl6
Source: the Alexandria database
Functional: PBE
Structure: relaxed

```
data_CdIn3Cl6
_cell_length_a 9.647
_cell_length_b 9.647
_cell_length_c 7.202
_cell_angle_alpha 90.00
_cell_angle_beta 90.00
_cell_angle_gamma 101.87
_symmetry_space_group_name_H-M 'P 1'
_symmetry_Int_Tables_number 1
_symmetry_space_group_name_Hall 'P 1'
loop_
_atom_site_label
_atom_site_fract_x
_atom_site_fract_y
_atom_site_fract_z
Cd1 0.205 0.795 0.500
Cd2 0.795 0.205 0.000
In1 0.076 0.286 0.445
In2 0.286 0.076 0.945
In3 0.419 0.581 0.862
In4 0.581 0.419 0.362
In5 0.714 0.924 0.445
In6 0.924 0.714 0.945
Cl1 0.048 0.952 0.620
Cl2 0.128 0.568 0.688
Cl3 0.222 0.778 0.161
Cl4 0.337 0.394 0.149
Cl5 0.394 0.337 0.649
Cl6 0.432 0.872 0.688
Cl7 0.568 0.128 0.188
Cl8 0.606 0.663 0.149
Cl9 0.663 0.606 0.649
Cl10 0.778 0.222 0.661
Cl11 0.872 0.432 0.188
Cl12 0.952 0.048 0.120
```

**Theoretical density**: 3390 kg/m³
**ΔE_f (raw)**: -0.88 eV per atom
**Calculated total energy**: -57.92 eV/cell
**N(E_F)**: 3.0 states/eV/f.u.


No. 5
Compound: CdIn2Cl8
Source: the Alexandria database
Functional: PBE
Structure: relaxed

```
data_CdIn2Cl8
_cell_length_a 8.031
_cell_length_b 8.031
_cell_length_c 6.457
_cell_angle_alpha 95.98
_cell_angle_beta 95.98
_cell_angle_gamma 69.63
_symmetry_space_group_name_H-M 'P 1'
_symmetry_Int_Tables_number 1
_symmetry_space_group_name_Hall 'P 1'
loop_
_atom_site_label
_atom_site_fract_x
_atom_site_fract_y
_atom_site_fract_z
Cd1 0.000 0.000 0.000
In1 0.194 0.194 0.651
In2 0.806 0.806 0.349
Cl1 0.102 0.713 0.220
Cl2 0.176 0.176 0.273
Cl3 0.287 0.898 0.780
Cl4 0.368 0.368 0.766
Cl5 0.632 0.632 0.234
Cl6 0.713 0.102 0.220
Cl7 0.824 0.824 0.727
Cl8 0.898 0.287 0.780
```

**Theoretical density**: 2683 kg/m³
**ΔE_f (raw)**: -1.04 eV per atom
**Distance to the lowest polymorph of the same formula**: 0.008 eV/atom
**Calculated total energy**: -32.60 eV/cell
**N(E_F)**: 0.0 states/eV/f.u.


No. 6
Compound: CdInCl2
Source: the Alexandria database
Functional: PBE
Structure: relaxed

```
data_CdInCl2
_cell_length_a 3.767
_cell_length_b 3.767
_cell_length_c 9.185
_cell_angle_alpha 90.00
_cell_angle_beta 90.00
_cell_angle_gamma 118.15
_symmetry_space_group_name_H-M 'P 1'
_symmetry_Int_Tables_number 1
_symmetry_space_group_name_Hall 'P 1'
loop_
_atom_site_label
_atom_site_fract_x
_atom_site_fract_y
_atom_site_fract_z
Cd1 0.000 0.000 0.000
In1 0.500 0.500 0.245
Cl1 0.000 0.000 0.445
Cl2 0.500 0.500 0.818
```

**Theoretical density**: 4307 kg/m³
**ΔE_f (raw)**: -0.57 eV per atom
**Distance to the lowest polymorph of the same formula**: 0.132 eV/atom
**Calculated total energy**: -9.64 eV/cell
**N(E_F)**: 0.9 states/eV/f.u.


No. 7
Compound: Cd2In5Cl12
Source: the Alexandria database
Functional: PBE
Structure: relaxed

```
data_Cd2In5Cl12
_cell_length_a 9.532
_cell_length_b 9.532
_cell_length_c 9.587
_cell_angle_alpha 106.76
_cell_angle_beta 106.76
_cell_angle_gamma 48.88
_symmetry_space_group_name_H-M 'P 1'
_symmetry_Int_Tables_number 1
_symmetry_space_group_name_Hall 'P 1'
loop_
_atom_site_label
_atom_site_fract_x
_atom_site_fract_y
_atom_site_fract_z
Cd1 0.237 0.763 0.000
Cd2 0.763 0.237 0.000
In1 0.000 0.000 0.500
In2 0.299 0.299 0.203
In3 0.356 0.356 0.660
In4 0.644 0.644 0.340
In5 0.701 0.701 0.797
Cl1 0.034 0.034 0.839
Cl2 0.116 0.571 0.855
Cl3 0.123 0.588 0.473
Cl4 0.412 0.877 0.527
Cl5 0.429 0.884 0.145
Cl6 0.487 0.487 0.188
Cl7 0.513 0.513 0.812
Cl8 0.571 0.116 0.855
Cl9 0.588 0.123 0.473
Cl10 0.877 0.412 0.527
Cl11 0.884 0.429 0.145
Cl12 0.966 0.966 0.161
```

**Theoretical density**: 3266 kg/m³
**ΔE_f (raw)**: -0.93 eV per atom
**Calculated total energy**: -55.30 eV/cell
**N(E_F)**: 6.3 states/eV/f.u.


No. 8
Compound: Cd2InCl
Source: the Alexandria database
Functional: PBE
Structure: relaxed

```
data_Cd2InCl
_cell_length_a 3.715
_cell_length_b 3.715
_cell_length_c 7.459
_cell_angle_alpha 90.00
_cell_angle_beta 90.00
_cell_angle_gamma 90.00
_symmetry_space_group_name_H-M 'P 1'
_symmetry_Int_Tables_number 1
_symmetry_space_group_name_Hall 'P 1'
loop_
_atom_site_label
_atom_site_fract_x
_atom_site_fract_y
_atom_site_fract_z
Cd1 0.000 0.000 0.000
Cd2 0.500 0.500 0.230
In1 0.500 0.500 0.758
Cl1 0.000 0.000 0.459
```

**Theoretical density**: 6050 kg/m³
**ΔE_f (raw)**: -0.23 eV per atom
**Distance to the lowest polymorph of the same formula**: 0.056 eV/atom
**Calculated total energy**: -7.34 eV/cell
**N(E_F)**: 0.9 states/eV/f.u.


No. 9
Compound: Cd2InCl
Source: the Alexandria database
Functional: PBE
Structure: relaxed

```
data_Cd2InCl
_cell_length_a 7.291
_cell_length_b 7.291
_cell_length_c 7.291
_cell_angle_alpha 120.42
_cell_angle_beta 120.42
_cell_angle_gamma 89.27
_symmetry_space_group_name_H-M 'P 1'
_symmetry_Int_Tables_number 1
_symmetry_space_group_name_Hall 'P 1'
loop_
_atom_site_label
_atom_site_fract_x
_atom_site_fract_y
_atom_site_fract_z
Cd1 0.121 0.625 0.996
Cd2 0.375 0.371 0.496
Cd3 0.629 0.125 0.004
Cd4 0.875 0.879 0.504
In1 0.250 0.750 0.500
In2 0.500 0.500 0.000
Cl1 0.000 0.000 0.000
Cl2 0.750 0.250 0.500
```

**Theoretical density**: 4576 kg/m³
**ΔE_f (raw)**: -0.16 eV per atom
**Distance to the lowest polymorph of the same formula**: 0.131 eV/atom
**Calculated total energy**: -14.09 eV/cell
**N(E_F)**: 0.5 states/eV/f.u.


No. 10
Compound: Cd2InCl
Source: the Alexandria database
Functional: PBE
Structure: relaxed

```
data_Cd2InCl
_cell_length_a 6.218
_cell_length_b 6.218
_cell_length_c 6.218
_cell_angle_alpha 148.70
_cell_angle_beta 125.14
_cell_angle_gamma 64.54
_symmetry_space_group_name_H-M 'P 1'
_symmetry_Int_Tables_number 1
_symmetry_space_group_name_Hall 'P 1'
loop_
_atom_site_label
_atom_site_fract_x
_atom_site_fract_y
_atom_site_fract_z
Cd1 0.000 0.000 0.000
Cd2 0.752 0.252 0.500
In1 0.491 0.491 0.000
Cl1 0.228 0.728 0.500
```

**Theoretical density**: 6163 kg/m³
**ΔE_f (raw)**: -0.21 eV per atom
**Distance to the lowest polymorph of the same formula**: 0.077 eV/atom
**Calculated total energy**: -7.26 eV/cell
**N(E_F)**: 1.8 states/eV/f.u.


No. 11
Compound: CdInCl2
Source: the Alexandria database
Functional: PBE
Structure: relaxed

```
data_CdInCl2
_cell_length_a 8.831
_cell_length_b 8.831
_cell_length_c 8.831
_cell_angle_alpha 25.60
_cell_angle_beta 25.60
_cell_angle_gamma 25.60
_symmetry_space_group_name_H-M 'P 1'
_symmetry_Int_Tables_number 1
_symmetry_space_group_name_Hall 'P 1'
loop_
_atom_site_label
_atom_site_fract_x
_atom_site_fract_y
_atom_site_fract_z
Cd1 0.000 0.000 0.000
In1 0.253 0.253 0.253
Cl1 0.521 0.521 0.521
Cl2 0.724 0.724 0.724
```

**Theoretical density**: 4374 kg/m³
**ΔE_f (raw)**: -0.70 eV per atom
**Distance to the lowest polymorph of the same formula**: 0.006 eV/atom
**Calculated total energy**: -10.15 eV/cell
**N(E_F)**: 0.5 states/eV/f.u.


No. 12
Compound: CdInCl2
Source: the Alexandria database
Functional: PBE
Structure: relaxed

```
data_CdInCl2
_cell_length_a 3.806
_cell_length_b 3.806
_cell_length_c 8.352
_cell_angle_alpha 90.00
_cell_angle_beta 90.00
_cell_angle_gamma 112.05
_symmetry_space_group_name_H-M 'P 1'
_symmetry_Int_Tables_number 1
_symmetry_space_group_name_Hall 'P 1'
loop_
_atom_site_label
_atom_site_fract_x
_atom_site_fract_y
_atom_site_fract_z
Cd1 0.000 0.000 0.000
In1 0.000 0.000 0.500
Cl1 0.500 0.500 0.241
Cl2 0.500 0.500 0.759
```

**Theoretical density**: 4414 kg/m³
**ΔE_f (raw)**: -0.51 eV per atom
**Distance to the lowest polymorph of the same formula**: 0.197 eV/atom
**Calculated total energy**: -9.38 eV/cell
**N(E_F)**: 2.3 states/eV/f.u.